Compound: CrOsBr2
Source: Alexandria via LeMat-Bulk
Functional: GGA-PBE
Structure: optimized geometry

a = 3.034 Å, b = 3.034 Å, c = 9.059 Å
α = 90.00°, β = 90.00°, γ = 90.00°
Atoms (fractional coordinates):
1 Cr 0.000 0.000 0.000
2 Os 0.500 0.500 0.162
3 Br 0.000 0.000 0.376
4 Br 0.500 0.500 0.800

Computed properties:
Fermi-level density of states	0.6722	states/eV/atom
distance to the lowest polymorph of the same formula	234.3	meV/atom
energy relative to the elements, uncorrected	0.451	eV/atom
raw total energy	-22.39	eV/f.u.